i) VASP calculation (PBE-GGA) on a relaxed Y3ErTm4 crystal.

The crystal system is monoclinic. The total magnetic moment comes out at 0.00 μB/f.u. The density is 7.26 g/cm3.

a = 23.314 Å, b = 3.454 Å, c = 6.567 Å
α = 90.00°, β = 106.33°, γ = 90.00°
Space group C2/m (No. 12)
Asymmetric unit:
Y  0.000  0.000  0.000 [2 per cell]
Y  0.126  0.000  0.380 [4 per cell]
Er  0.000  0.500  0.500 [2 per cell]
Tm  0.125  0.000  0.866 [4 per cell]
Tm  0.239  0.500  0.743 [4 per cell]

---

ii) VASP calculation (PBE-GGA) on a relaxed Y3ErTm4 crystal.

The crystal system is orthorhombic. The total magnetic moment comes out at 0.00 μB/f.u. The density is 7.37 g/cm3.

a = 11.143 Å, b = 7.207 Å, c = 6.228 Å
α = 90.00°, β = 90.00°, γ = 90.00°
Space group Pmn2_1 (No. 31)
Asymmetric unit:
Y  0.000  0.127  0.000 [2 per cell]
Y  0.250  0.127  0.336 [4 per cell]
Er  0.000  0.873  0.500 [2 per cell]
Tm  0.000  0.378  0.504 [2 per cell]
Tm  0.000  0.623  0.003 [2 per cell]
Tm  0.249  0.623  0.335 [4 per cell]

---

Referenced to the most stable arrangement, the calculated values in meV/atom are i) 170; ii) 0.

---

i) VASP calculation (PBE-GGA) on a relaxed YEr7Tm12 crystal.

The crystal system is cubic. The total magnetic moment comes out at 0.00 μB/f.u. The density is 7.89 g/cm3.

a = 11.141 Å, b = 11.141 Å, c = 11.141 Å
α = 90.00°, β = 90.00°, γ = 90.00°
Space group Im-3 (No. 204)
Asymmetric unit:
Y  0.000  0.000  0.000 [2 per cell]
Er  0.000  0.000  0.500 [6 per cell]
Er  0.250  0.250  0.250 [8 per cell]
Tm  0.000  0.254  0.253 [24 per cell]

---

ii) VASP calculation (PBE-GGA) on a relaxed YEr7Tm12 crystal.

The crystal system is trigonal. The total magnetic moment comes out at 0.00 μB/f.u. The density is 8.81 g/cm3.

a = 12.6340 Å, b = 12.6340 Å, c = 13.4394 Å
α = 90.00°, β = 90.00°, γ = 120.00°
Space group R-3 (No. 148, hexagonal axes)
Asymmetric unit:
Y  0.0000  0.0000  0.0000 [3 per cell]
Er  0.0000  0.0000  0.5000 [3 per cell]
Er  0.0687  0.8682  0.8469 [18 per cell]
Tm  0.0005  0.4365  0.2502 [18 per cell]
Tm  0.0687  0.2004  0.3490 [18 per cell]

---

Referenced to the most stable arrangement, the calculated values in meV/atom are i) 433; ii) 0.

---

i) VASP calculation (PBE-GGA) on a relaxed Y3Er2Tm7 crystal.

The crystal system is monoclinic. The total magnetic moment comes out at 0.00 μB/f.u. The density is 7.95 g/cm3.

a = 6.248 Å, b = 3.485 Å, c = 17.215 Å
α = 90.00°, β = 96.20°, γ = 90.00°
Space group P2/m (No. 10)
Asymmetric unit:
Y  0.000  0.000  0.000 [1 per cell]
Y  0.052  0.500  0.657 [2 per cell]
Er  0.439  0.000  0.326 [2 per cell]
Tm  0.226  0.500  0.166 [2 per cell]
Tm  0.246  0.000  0.501 [2 per cell]
Tm  0.278  0.000  0.833 [2 per cell]
Tm  0.500  0.500  0.000 [1 per cell]

---

ii) VASP calculation (PBE-GGA) on a relaxed Y3Er2Tm7 crystal.

The crystal system is orthorhombic. The total magnetic moment comes out at 0.02 μB/f.u. The density is 7.83 g/cm3.

a = 5.760 Å, b = 36.866 Å, c = 3.563 Å
α = 90.00°, β = 90.00°, γ = 90.00°
Space group Cmmm (No. 65)
Asymmetric unit:
Y  0.000  0.000  0.000 [2 per cell]
Y  0.000  0.151  0.000 [4 per cell]
Er  0.000  0.324  0.500 [4 per cell]
Tm  0.000  0.073  0.500 [4 per cell]
Tm  0.000  0.230  0.500 [4 per cell]
Tm  0.000  0.410  0.000 [4 per cell]
Tm  0.000  0.500  0.500 [2 per cell]

---

Referenced to the most stable arrangement, the calculated values in meV/atom are i) 0; ii) 90.

---

i) VASP calculation (PBE-GGA) on a relaxed Y2ErTm2 crystal.

The crystal system is tetragonal. The total magnetic moment comes out at 0.00 μB/f.u. The density is 7.19 g/cm3.

a = 9.252 Å, b = 9.252 Å, c = 3.687 Å
α = 90.00°, β = 90.00°, γ = 90.00°
Space group P4/mbm (No. 127)
Asymmetric unit:
Y  0.173  0.327  0.000 [4 per cell]
Er  0.000  0.000  0.500 [2 per cell]
Tm  0.126  0.626  0.500 [4 per cell]

---

ii) VASP calculation (PBE-GGA) on a relaxed Y2ErTm2 crystal.

The crystal system is monoclinic. The total magnetic moment comes out at 0.00 μB/f.u. The density is 7.32 g/cm3.

a = 14.533 Å, b = 7.052 Å, c = 6.103 Å
α = 90.00°, β = 98.09°, γ = 90.00°
Space group P2_1/c (No. 14)
Asymmetric unit:
Y  0.100  0.125  0.451 [4 per cell]
Y  0.301  0.625  0.851 [4 per cell]
Er  0.301  0.125  0.852 [4 per cell]
Tm  0.100  0.625  0.451 [4 per cell]
Tm  0.500  0.125  0.249 [4 per cell]

---

Referenced to the most stable arrangement, the calculated values in meV/atom are i) 67; ii) 0.

---

i) VASP calculation (PBE-GGA) on a relaxed YEr4Tm crystal.

The crystal system is monoclinic. The total magnetic moment comes out at 0.00 μB/f.u. The density is 8.13 g/cm3.

a = 8.695 Å, b = 14.574 Å, c = 6.382 Å
α = 90.00°, β = 110.56°, γ = 90.00°
Space group C2/c (No. 15)
Asymmetric unit:
Y  0.000  0.085  0.250 [4 per cell]
Er  0.094  0.304  0.536 [8 per cell]
Er  0.205  0.130  0.879 [8 per cell]
Tm  0.000  0.499  0.250 [4 per cell]

---

ii) VASP calculation (PBE-GGA) on a relaxed YEr4Tm crystal.

The crystal system is cubic. The total magnetic moment comes out at 0.06 μB/f.u. The density is 7.93 g/cm3.

a = 9.189 Å, b = 9.189 Å, c = 9.189 Å
α = 90.00°, β = 90.00°, γ = 90.00°
Space group F-43m (No. 216)
Asymmetric unit:
Y  0.000  0.000  0.000 [4 per cell]
Er  0.125  0.125  0.375 [16 per cell]
Tm  0.250  0.250  0.750 [4 per cell]

---

Referenced to the most stable arrangement, the calculated values in meV/atom are i) 0; ii) 106.

---

i) VASP calculation (PBE-GGA) on a relaxed YEr6Tm3 crystal.

The crystal system is orthorhombic. The total magnetic moment comes out at 0.00 μB/f.u. The density is 8.52 g/cm3.

a = 10.865 Å, b = 18.757 Å, c = 6.121 Å
α = 90.00°, β = 90.00°, γ = 90.00°
Space group Cmc2_1 (No. 36)
Asymmetric unit:
Y  0.000  0.206  0.000 [4 per cell]
Er  0.000  0.046  0.767 [4 per cell]
Er  0.000  0.284  0.495 [4 per cell]
Er  0.165  0.453  0.383 [8 per cell]
Er  0.248  0.290  0.208 [8 per cell]
Tm  0.000  0.391  0.923 [4 per cell]
Tm  0.172  0.108  0.310 [8 per cell]

---

ii) VASP calculation (PBE-GGA) on a relaxed YEr6Tm3 crystal.

The crystal system is orthorhombic. The total magnetic moment comes out at 0.00 μB/f.u. The density is 8.57 g/cm3.

a = 9.506 Å, b = 20.696 Å, c = 6.299 Å
α = 90.00°, β = 90.00°, γ = 90.00°
Space group Cmc2_1 (No. 36)
Asymmetric unit:
Y  0.000  0.162  0.000 [4 per cell]
Er  0.000  0.015  0.802 [4 per cell]
Er  0.000  0.302  0.770 [4 per cell]
Er  0.176  0.281  0.314 [8 per cell]
Er  0.182  0.440  0.554 [8 per cell]
Tm  0.000  0.419  0.080 [4 per cell]
Tm  0.169  0.126  0.475 [8 per cell]

---

Referenced to the most stable arrangement, the calculated values in meV/atom are i) 31; ii) 0.

---

i) VASP calculation (PBE-GGA) on a relaxed Y4ErTm2 crystal.

The crystal system is monoclinic. The total magnetic moment comes out at 0.00 μB/f.u. The density is 6.45 g/cm3.

a = 16.628 Å, b = 3.534 Å, c = 8.672 Å
α = 90.00°, β = 119.60°, γ = 90.00°
Space group C2/m (No. 12)
Asymmetric unit:
Y  0.139  0.000  0.331 [4 per cell]
Y  0.204  0.000  0.793 [4 per cell]
Er  0.000  0.500  0.500 [2 per cell]
Tm  0.070  0.500  0.930 [4 per cell]

---

ii) VASP calculation (PBE-GGA) on a relaxed Y4ErTm2 crystal.

The crystal system is monoclinic. The total magnetic moment comes out at 0.00 μB/f.u. The density is 6.45 g/cm3.

a = 5.879 Å, b = 6.695 Å, c = 11.621 Å
α = 90.00°, β = 104.22°, γ = 90.00°
Space group P2_1/m (No. 11)
Asymmetric unit:
Y  0.140  0.250  0.153 [2 per cell]
Y  0.261  0.750  0.426 [2 per cell]
Y  0.346  0.503  0.709 [4 per cell]
Er  0.010  0.250  0.857 [2 per cell]
Tm  0.174  0.250  0.438 [2 per cell]
Tm  0.414  0.750  0.005 [2 per cell]

---

Referenced to the most stable arrangement, the calculated values in meV/atom are i) 0; ii) 109.

---

i) VASP calculation (PBE-GGA) on a relaxed Y5Er5Tm2 crystal.

The crystal system is monoclinic. The total magnetic moment comes out at 0.00 μB/f.u. The density is 7.20 g/cm3.

a = 14.979 Å, b = 4.988 Å, c = 11.172 Å
α = 90.00°, β = 116.53°, γ = 90.00°
Space group C2/m (No. 12)
Asymmetric unit:
Y  0.000  0.000  0.000 [2 per cell]
Y  0.165  0.000  0.499 [4 per cell]
Y  0.250  0.000  0.249 [4 per cell]
Er  0.000  0.500  0.500 [2 per cell]
Er  0.082  0.500  0.250 [4 per cell]
Er  0.167  0.500  0.000 [4 per cell]
Tm  0.083  0.000  0.751 [4 per cell]

---

ii) VASP calculation (PBE-GGA) on a relaxed Y5Er5Tm2 crystal.

The crystal system is monoclinic. The total magnetic moment comes out at 0.00 μB/f.u. The density is 7.00 g/cm3.

a = 9.633 Å, b = 5.595 Å, c = 14.616 Å
α = 90.00°, β = 102.78°, γ = 90.00°
Space group C2/m (No. 12)
Asymmetric unit:
Y  0.000  0.000  0.000 [2 per cell]
Y  0.191  0.000  0.577 [4 per cell]
Y  0.227  0.500  0.174 [4 per cell]
Er  0.000  0.500  0.500 [2 per cell]
Er  0.106  0.000  0.309 [4 per cell]
Er  0.146  0.500  0.940 [4 per cell]
Tm  0.067  0.500  0.713 [4 per cell]

---

Referenced to the most stable arrangement, the calculated values in meV/atom are i) 0; ii) 164.